The following is a DFT calculation (PBE) of a relaxed PaGa2Rh3 crystal.

The space group is P6_3/mmc (No. 194) and the conventional cell measures 4.3802, 4.3802 and 12.0033 Å, with angles of 90.00, 90.00 and 120.00 degrees. Symmetry generates all atoms from Pa at (0.0000, 0.0000, 0.2500), Ga at (0.3333, 0.6667, 0.0848), Rh at (0.0000, 0.0000, 0.0000) and Rh at (0.3333, 0.6667, 0.6299).

As for the mass density: 11.3 g/cm3. The value obtained for the formation enthalpy at 0 K is -0.802 eV per atom. As for the density of states at the Fermi level: 0.6534 states/eV/atom.